1.
This record from the Alexandria database describes SmTm3Sb after structural relaxation. The functional is GGA-PBE.

abc: 10.599 3.985 14.287
angles: 90.00 90.00 90.00
Space group Pnma (No. 62)
Inequivalent atoms, fractional coordinates:
Sm  0.169  0.250  0.027
Tm  0.083  0.250  0.423
Tm  0.114  0.750  0.231
Tm  0.136  0.750  0.814
Sb  0.128  0.250  0.639

Properties
Formation energy (no corrections), eV per atom: -0.38
Density, g/cm³: 8.57

---

2.
This record from the Alexandria database describes Sm4TmSb5 after structural relaxation. The functional is GGA-PBE.

abc: 9.939 9.939 6.290
angles: 90.00 90.00 90.00
Space group I4/m (No. 87)
Inequivalent atoms, fractional coordinates:
Sm  0.098  0.301  0.000
Tm  0.000  0.000  0.500
Sb  0.000  0.000  0.000
Sb  0.099  0.295  0.500

Properties
Formation energy (no corrections), eV per atom: -1.15
Density, g/cm³: 7.37